Entry 1:
A plane-wave DFT calculation with PBE was carried out for La2Pr2NdHo2 after structural relaxation.

Output
Total magnetic moment ... 0.00 μB/cell
DFT formation energy ... 21.7 meV per atom

The structure in CIF format:
```
data_La2Pr2NdHo2
_cell_length_a 11.572
_cell_length_b 5.175
_cell_length_c 8.231
_cell_angle_alpha 90.00
_cell_angle_beta 97.98
_cell_angle_gamma 90.00
_symmetry_space_group_name_H-M 'C 1 2/m 1'
_symmetry_Int_Tables_number 12
loop_
_symmetry_equiv_pos_as_xyz
'x,y,z'
'-x,-y,-z'
'-x,y,-z'
'x,-y,z'
'x+1/2,y+1/2,z'
'-x+1/2,-y+1/2,-z'
'-x+1/2,y+1/2,-z'
'x+1/2,-y+1/2,z'
loop_
_atom_site_label
_atom_site_fract_x
_atom_site_fract_y
_atom_site_fract_z
La1 0.142 0.000 0.427
Pr1 0.215 0.500 0.142
Nd1 0.000 0.000 0.000
Ho1 0.071 0.500 0.714
```


Entry 2:
A plane-wave DFT calculation with PBE was carried out for Li2Ca2PrSn2 after structural relaxation.

Output
Total magnetic moment ... 2.39 μB/cell
DFT formation energy ... -519.1 meV per atom

The structure in CIF format:
```
data_Li2Ca2PrSn2
_cell_length_a 4.8988
_cell_length_b 4.8988
_cell_length_c 27.7587
_cell_angle_alpha 90.00
_cell_angle_beta 90.00
_cell_angle_gamma 120.00
_symmetry_space_group_name_H-M 'R -3 m'
_symmetry_Int_Tables_number 166
_symmetry_space_group_name_Hall '-R 3 2"'
loop_
_atom_site_label
_atom_site_fract_x
_atom_site_fract_y
_atom_site_fract_z
Li1 0.0000 0.0000 0.0972
Ca1 0.0000 0.0000 0.3706
Pr1 0.0000 0.0000 0.5000
Sn1 0.0000 0.0000 0.2382
```


Entry 3:
A plane-wave DFT calculation with PBE was carried out for Al2HgP after structural relaxation.

Output
ΔE to the lowest computed polymorph ... 177.9 meV per atom
Total magnetic moment ... 0.00 μB/cell
DFT formation energy ... 61.7 meV per atom

The structure in CIF format:
```
data_Al2HgP
_cell_length_a 2.818
_cell_length_b 3.593
_cell_length_c 7.513
_cell_angle_alpha 90.00
_cell_angle_beta 90.00
_cell_angle_gamma 90.00
_symmetry_space_group_name_H-M 'P m m m'
_symmetry_Int_Tables_number 47
loop_
_symmetry_equiv_pos_as_xyz
'x,y,z'
'-x,-y,-z'
'-x,-y,z'
'x,y,-z'
'x,-y,-z'
'-x,y,z'
'-x,y,-z'
'x,-y,z'
loop_
_atom_site_label
_atom_site_fract_x
_atom_site_fract_y
_atom_site_fract_z
Al1 0.000 0.000 0.225
Hg1 0.500 0.500 0.500
P1 0.000 0.500 0.000
```


Entry 4:
A plane-wave DFT calculation with PBE was carried out for Ta2Zn2Sn after structural relaxation.

Output
Total magnetic moment ... 0.00 μB/cell
DFT formation energy ... 375.6 meV per atom

The structure in CIF format:
```
data_Ta2Zn2Sn
_cell_length_a 3.720
_cell_length_b 3.720
_cell_length_c 13.640
_cell_angle_alpha 90.00
_cell_angle_beta 90.00
_cell_angle_gamma 90.00
_symmetry_space_group_name_H-M 'I 4/m m m'
_symmetry_Int_Tables_number 139
_symmetry_space_group_name_Hall '-I 4 2'
loop_
_atom_site_label
_atom_site_fract_x
_atom_site_fract_y
_atom_site_fract_z
Ta1 0.000 0.000 0.096
Zn1 0.000 0.500 0.250
Sn1 0.000 0.000 0.500
```


Entry 5:
A plane-wave DFT calculation with PBE was carried out for AlCu2Te after structural relaxation.

Output
Raw formation energy ... 0.107 eV/atom
ΔE to the lowest computed polymorph ... 55.3 meV per atom
Total magnetic moment ... 0.00 μB/cell

The structure in CIF format:
```
data_AlCu2Te
_cell_length_a 3.135
_cell_length_b 3.920
_cell_length_c 11.801
_cell_angle_alpha 90.00
_cell_angle_beta 90.00
_cell_angle_gamma 90.00
_symmetry_space_group_name_H-M 'I m m 2'
_symmetry_Int_Tables_number 44
loop_
_symmetry_equiv_pos_as_xyz
'x,y,z'
'-x,-y,z'
'-x,y,z'
'x,-y,z'
'x+1/2,y+1/2,z+1/2'
'-x+1/2,-y+1/2,z+1/2'
'-x+1/2,y+1/2,z+1/2'
'x+1/2,-y+1/2,z+1/2'
loop_
_atom_site_label
_atom_site_fract_x
_atom_site_fract_y
_atom_site_fract_z
Al1 0.000 0.000 0.000
Cu1 0.000 0.000 0.534
Cu2 0.000 0.500 0.859
Te1 0.000 0.500 0.237
```


Entry 6:
A plane-wave DFT calculation with PBE was carried out for KNaIr2 after structural relaxation.

Output
ΔE to the lowest computed polymorph ... 761.1 meV per atom
Total magnetic moment ... 3.64 μB/cell
DFT formation energy ... 1518.4 meV per atom

The structure in CIF format:
```
data_KNaIr2
_cell_length_a 6.857
_cell_length_b 6.857
_cell_length_c 6.857
_cell_angle_alpha 90.00
_cell_angle_beta 90.00
_cell_angle_gamma 90.00
_symmetry_space_group_name_H-M 'F m -3 m'
_symmetry_Int_Tables_number 225
_symmetry_space_group_name_Hall '-F 4 2 3'
loop_
_atom_site_label
_atom_site_fract_x
_atom_site_fract_y
_atom_site_fract_z
K1 0.000 0.000 0.000
Na1 0.000 0.000 0.500
Ir1 0.250 0.250 0.250
```


Entry 7:
A plane-wave DFT calculation with PBE was carried out for CsNa9Sr2 after structural relaxation.

Output
Total magnetic moment ... 0.00 μB/cell
DFT formation energy ... 20.2 meV per atom

The structure in CIF format:
```
data_CsNa9Sr2
_cell_length_a 7.2986
_cell_length_b 7.2986
_cell_length_c 35.2135
_cell_angle_alpha 90.00
_cell_angle_beta 90.00
_cell_angle_gamma 120.00
_symmetry_space_group_name_H-M 'R -3 m'
_symmetry_Int_Tables_number 166
_symmetry_space_group_name_Hall '-R 3 2"'
loop_
_atom_site_label
_atom_site_fract_x
_atom_site_fract_y
_atom_site_fract_z
Cs1 0.0000 0.0000 0.0000
Na1 0.0000 0.0000 0.3342
Na2 0.0000 0.0000 0.5000
Na3 0.0060 0.5030 0.9127
Sr1 0.0000 0.0000 0.1459
```


Entry 8:
A plane-wave DFT calculation with PBE was carried out for NbBIr2Pb after structural relaxation.

Output
Total magnetic moment ... 0.00 μB/cell
DFT formation energy ... 2074.8 meV per atom

The structure in CIF format:
```
data_NbBIr2Pb
_cell_length_a 4.786
_cell_length_b 4.786
_cell_length_c 5.517
_cell_angle_alpha 90.00
_cell_angle_beta 90.00
_cell_angle_gamma 90.00
_symmetry_space_group_name_H-M 'P 4/m m m'
_symmetry_Int_Tables_number 123
_symmetry_space_group_name_Hall '-P 4 2'
loop_
_atom_site_label
_atom_site_fract_x
_atom_site_fract_y
_atom_site_fract_z
Nb1 0.000 0.000 0.000
B1 0.500 0.500 0.500
Ir1 0.000 0.500 0.000
Pb1 0.000 0.000 0.500
```


Entry 9:
A plane-wave DFT calculation with PBE was carried out for CaNdTmTl after structural relaxation.

Output
Total magnetic moment ... 0.00 μB/cell
DFT formation energy ... -50.6 meV per atom

The structure in CIF format:
```
data_CaNdTmTl
_cell_length_a 7.856
_cell_length_b 7.856
_cell_length_c 7.856
_cell_angle_alpha 90.00
_cell_angle_beta 90.00
_cell_angle_gamma 90.00
_symmetry_space_group_name_H-M 'F -4 3 m'
_symmetry_Int_Tables_number 216
_symmetry_space_group_name_Hall 'F -4 2 3'
loop_
_atom_site_label
_atom_site_fract_x
_atom_site_fract_y
_atom_site_fract_z
Ca1 0.000 0.000 0.000
Nd1 0.250 0.250 0.750
Tm1 0.250 0.250 0.250
Tl1 0.000 0.000 0.500
```


Entry 10:
A plane-wave DFT calculation with PBE was carried out for NaScTaCd2 after structural relaxation.

Output
Total magnetic moment ... 0.00 μB/cell
DFT formation energy ... 1274.4 meV per atom

The structure in CIF format:
```
data_NaScTaCd2
_cell_length_a 4.796
_cell_length_b 4.796
_cell_length_c 4.929
_cell_angle_alpha 90.00
_cell_angle_beta 90.00
_cell_angle_gamma 90.00
_symmetry_space_group_name_H-M 'P 4/m m m'
_symmetry_Int_Tables_number 123
_symmetry_space_group_name_Hall '-P 4 2'
loop_
_atom_site_label
_atom_site_fract_x
_atom_site_fract_y
_atom_site_fract_z
Na1 0.000 0.000 0.000
Sc1 0.000 0.000 0.500
Ta1 0.500 0.500 0.500
Cd1 0.000 0.500 0.000
```


Entry 11:
A plane-wave DFT calculation with PBE was carried out for NpTcNi after structural relaxation.

Output
ΔE to the lowest computed polymorph ... 171.5 meV per atom
Total magnetic moment ... 1.87 μB/cell
DFT formation energy ... 392.8 meV per atom

The structure in CIF format:
```
data_NpTcNi
_cell_length_a 2.636
_cell_length_b 4.351
_cell_length_c 8.120
_cell_angle_alpha 90.00
_cell_angle_beta 90.00
_cell_angle_gamma 90.00
_symmetry_space_group_name_H-M 'P m m n'
_symmetry_Int_Tables_number 59
loop_
_symmetry_equiv_pos_as_xyz
'x,y,z'
'-x,-y,-z'
'-x+1/2,-y+1/2,z'
'x+1/2,y+1/2,-z'
'x+1/2,-y,-z'
'-x+1/2,y,z'
'-x,y+1/2,-z'
'x,-y+1/2,z'
loop_
_atom_site_label
_atom_site_fract_x
_atom_site_fract_y
_atom_site_fract_z
Np1 0.250 0.250 0.084
Tc1 0.250 0.750 0.272
Ni1 0.250 0.250 0.460
```


Entry 12:
A plane-wave DFT calculation with PBE was carried out for CoB3Sb after structural relaxation.

Output
Raw formation energy ... 1.106 eV/atom
ΔE to the lowest computed polymorph ... 0.0 meV per atom
Total magnetic moment ... 0.00 μB/cell

The structure in CIF format:
```
data_CoB3Sb
_cell_length_a 3.928
_cell_length_b 3.928
_cell_length_c 3.928
_cell_angle_alpha 90.00
_cell_angle_beta 90.00
_cell_angle_gamma 90.00
_symmetry_space_group_name_H-M 'P m -3 m'
_symmetry_Int_Tables_number 221
_symmetry_space_group_name_Hall '-P 4 2 3'
loop_
_atom_site_label
_atom_site_fract_x
_atom_site_fract_y
_atom_site_fract_z
Co1 0.000 0.000 0.000
B1 0.000 0.000 0.500
Sb1 0.500 0.500 0.500
```


- What is the total magnetic moment in the second record?
  2.39 μB/cell


- Which value of total magnetic moment does entry 12 give?
  0.00 μB/cell


- Which formula does entry 11 have?
  NpTcNi